# SmThPtS

SmThPtS after structural relaxation (PBE, Alexandria).

The structure in CIF format:
```
data_SmThPtS
_cell_length_a 7.6823
_cell_length_b 7.6823
_cell_length_c 7.6823
_cell_angle_alpha 30.06
_cell_angle_beta 30.06
_cell_angle_gamma 30.06
_space_group_name_H-M_alt 'P 1'
_space_group_IT_number 1
_space_group_name_Hall 'P 1'
loop_
_atom_site_label
_atom_site_fract_x
_atom_site_fract_y
_atom_site_fract_z
Sm1 0.0000 0.0000 0.0000
Th1 0.1712 0.1712 0.1712
Pt1 0.7571 0.7571 0.7571
S1 0.5869 0.5869 0.5869
```

Calculated values
For the formation energy from raw total energies, the calculation gives -1.42 eV per atom. As for the space group: R3m (160). For the total moment, the calculation gives 0.00 μB/cell. For the uncorrected energy, the calculation gives -28.0 eV for the cell shown. Its density is 10.04 Mg/m³.